Record 1
A plane-wave DFT calculation with PBE was carried out for a relaxed Tb2NiS crystal.

Structure (POSCAR):
```
Tb2NiS
1.0
1.9280 1.1132 6.9469
-1.9280 1.1132 6.9469
0.0000 -2.2263 6.9469
Tb Ni S
2 1 1
Cartesian
0.0000 0.0000 0.0000
0.0000 0.0000 3.7717
0.0000 0.0000 12.3026
0.0000 0.0000 8.8177
```

## Properties
Energy above the most stable polymorph in this dataset ... 165 meV per atom

***

Record 2
A plane-wave DFT calculation with PBE was carried out for a relaxed Tb5NiS4 crystal.

Structure (POSCAR):
```
Tb5NiS4
1.0
6.6389 -1.9350 0.0000
6.6389 1.9350 0.0000
-4.8860 0.0000 8.4465
Tb Ni S
5 1 4
Cartesian
0.0000 0.0000 0.0000
-1.2744 0.0000 6.7212
2.4593 0.0000 5.0334
5.9325 0.0000 3.4131
9.6662 0.0000 1.7253
-2.4430 0.0000 4.2233
1.1650 0.0000 2.5226
4.8195 0.0000 0.7874
3.5724 0.0000 7.6591
7.2268 0.0000 5.9239
```

***

Record 3
A plane-wave DFT calculation with PBE was carried out for a relaxed Tb8NiTe4S3 crystal.

Structure (POSCAR):
```
Tb8NiTe4S3
1.0
4.1103 2.3731 7.0126
-4.1103 2.3731 7.0126
0.0000 -4.7462 7.0126
Tb Ni Te S
8 1 4 3
Cartesian
0.0000 0.0000 4.9599
-1.9890 -1.1484 11.9836
0.0000 -2.2968 9.0544
-1.9890 1.1484 9.0544
1.9890 -1.1484 11.9836
0.0000 2.2968 11.9836
1.9891 1.1484 9.0544
0.0000 0.0000 16.0781
0.0000 0.0000 10.5190
0.0000 0.0000 0.0000
-2.0551 -1.1865 7.0126
-2.0551 1.1865 14.0253
0.0000 2.3731 7.0126
-4.1103 0.0000 10.5190
-2.0551 1.1865 3.5063
2.0551 1.1865 3.5063
```

***

Record 4
A plane-wave DFT calculation with PBE was carried out for a relaxed Tb2UNiS5 crystal.

Structure (POSCAR):
```
Tb2UNiS5
1.0
1.8734 -8.1934 0.0000
1.8734 8.1934 0.0000
0.0000 0.0000 11.7333
Tb U Ni S
4 2 2 10
Cartesian
1.8734 6.4324 5.8667
1.8734 6.3023 9.8956
1.8734 -6.3023 4.0289
1.8734 -6.4324 0.0000
1.8734 5.3291 2.0785
1.8734 -5.3291 7.9452
1.8734 0.8545 6.6777
1.8734 -0.8545 0.8110
1.8734 7.9467 1.9066
1.8734 3.2316 9.9153
1.8734 2.9760 5.9709
1.8734 2.5889 1.9917
1.8734 0.0805 10.5211
1.8734 -0.0805 4.6544
1.8734 -2.5889 7.8583
1.8734 -2.9760 0.1042
1.8734 -3.2316 4.0486
1.8734 -7.9467 7.7733
```

***

Record 5
A plane-wave DFT calculation with PBE was carried out for a relaxed TbUNiS4 crystal.

Structure (POSCAR):
```
TbUNiS4
1.0
6.2881 0.0000 0.0000
0.0000 5.8583 0.0000
-2.1632 0.0000 7.2746
Tb U Ni S
2 2 2 8
Cartesian
0.6065 1.4646 3.1976
3.5185 4.3937 4.0770
-0.4000 1.4646 6.8630
4.5249 4.3937 0.4117
1.2648 4.3937 1.2542
2.8601 1.4646 6.0205
-1.5166 4.3937 6.4617
-0.4026 4.3937 2.7556
1.4135 2.9939 5.4538
1.4135 5.7935 5.4538
2.7114 0.0648 1.8209
2.7114 2.8644 1.8209
4.5275 1.4646 4.5190
5.6415 1.4646 0.8129
```

***

Record 6
A plane-wave DFT calculation with PBE was carried out for a relaxed TcNi3S crystal.

Structure (POSCAR):
```
TcNi3S
1.0
4.4672 0.0000 0.0000
0.0000 4.4672 0.0000
0.0000 0.0000 4.4672
Tc Ni S
1 3 1
Cartesian
0.0000 0.0000 0.0000
0.0000 0.0000 2.2336
0.0000 2.2336 0.0000
2.2336 0.0000 0.0000
2.2336 2.2336 2.2336
```

## Properties
Energy above the most stable polymorph in this dataset ... 1003 meV per atom

***

The calculation returns the following energy values, one per record and in order: -5.84 -6.22 -5.71 -6.78 -6.80 -4.84 eV per atom.
The calculation returns the following size of the total moment values, one per record and in order: 0.00 0.00 0.00 3.68 2.98 0.00 μB/cell.
The calculation returns the following formation energy without anion corrections values, one per record and in order: -1.05 -1.68 -1.48 -1.56 -1.34 1.52 eV/atom.